1.
The following is a DFT calculation (meta-GGA SCAN) of BMoOs3 at its PBEsol-relaxed geometry.

Summary:
Energy of formation = 315.2 kJ per mole of atoms
Fermi-level density of states = 3.87 states/eV per cell
DFT total energy = -3.5517 Ry per atom
M_tot = 0.00 μB per formula unit

Unit cell a=4.619 b=4.619 c=4.619 alpha=90.00 beta=90.00 gamma=90.00
Space group Pm-3m (No. 221)
Asymmetric unit:
B 0.000 0.000 0.000
Mo 0.500 0.500 0.500
Os 0.000 0.500 0.500

***

2.
The following is a DFT calculation (meta-GGA SCAN) of AsPPtS2 at its PBEsol-relaxed geometry.

Summary:
Offset from the most stable computed form = 0.000 eV/atom
Fermi-level density of states = 3.79 states/eV per cell
DFT total energy = -1.7080 Ry per atom
Formation energy from raw total energies = 0.77 eV per atom
M_tot = 0.00 μB per formula unit

Unit cell a=4.697 b=4.697 c=4.486 alpha=90.00 beta=90.00 gamma=90.00
Space group P4/mmm (No. 123)
Asymmetric unit:
As 0.000 0.000 0.000
P 0.500 0.500 0.000
Pt 0.500 0.500 0.500
S 0.000 0.500 0.500